[1]
The following is a GGA-PBE calculation of crystalline Ca2CePuS4 at its relaxed geometry, from the Alexandria database.

Cell lengths 6.9352, 4.0089, 7.0322 Å; angles 90.00, 109.22, 90.00 degrees
Space group P2/m (No. 10)
Symmetry-distinct sites (fractional):
Ca (0.0000, 0.0000, 0.0000) [1 per cell]
Ca (0.5000, 0.5000, 0.0000) [1 per cell]
Ce (0.0000, 0.5000, 0.5000) [1 per cell]
Pu (0.5000, 0.0000, 0.5000) [1 per cell]
S (0.2524, 0.5000, 0.2505) [2 per cell]
S (0.2530, 0.0000, 0.7529) [2 per cell]

Output
crystal system: monoclinic
total magnetic moment: 7.0 μB/cell
total DFT energy (no corrections): -7.056 eV/atom

---

[2]
The following is a GGA-PBE calculation of crystalline CaCe2PuSb4 at its relaxed geometry, from the Alexandria database.

Cell lengths 7.7300, 4.5070, 7.7853 Å; angles 90.00, 109.65, 90.00 degrees
Space group P2/m (No. 10)
Symmetry-distinct sites (fractional):
Ca (0.0000, 0.0000, 0.0000) [1 per cell]
Ce (0.5000, 0.0000, 0.5000) [1 per cell]
Ce (0.5000, 0.5000, 0.0000) [1 per cell]
Pu (0.0000, 0.5000, 0.5000) [1 per cell]
Sb (0.2513, 0.0000, 0.7464) [2 per cell]
Sb (0.2559, 0.5000, 0.2562) [2 per cell]

Output
crystal system: monoclinic
total magnetic moment: 6.1 μB/cell
total DFT energy (no corrections): -6.482 eV/atom

---

[3]
The following is a GGA-PBE calculation of crystalline Ca2CePuSb4 at its relaxed geometry, from the Alexandria database.

Cell lengths 7.6885, 4.5376, 7.8266 Å; angles 90.00, 110.01, 90.00 degrees
Space group P2/m (No. 10)
Symmetry-distinct sites (fractional):
Ca (0.0000, 0.0000, 0.0000) [1 per cell]
Ca (0.0000, 0.5000, 0.5000) [1 per cell]
Ce (0.5000, 0.0000, 0.5000) [1 per cell]
Pu (0.5000, 0.5000, 0.0000) [1 per cell]
Sb (0.2636, 0.5000, 0.2539) [2 per cell]
Sb (0.2656, 0.0000, 0.7565) [2 per cell]

Output
crystal system: monoclinic
total magnetic moment: 4.3 μB/cell
total DFT energy (no corrections): -5.931 eV/atom

---

[4]
The following is a GGA-PBE calculation of crystalline Ca2CePuSe4 at its relaxed geometry, from the Alexandria database.

Cell lengths 7.2370, 4.1826, 7.3566 Å; angles 90.00, 109.17, 90.00 degrees
Space group P2/m (No. 10)
Symmetry-distinct sites (fractional):
Ca (0.0000, 0.0000, 0.0000) [1 per cell]
Ca (0.5000, 0.5000, 0.0000) [1 per cell]
Ce (0.0000, 0.5000, 0.5000) [1 per cell]
Pu (0.5000, 0.0000, 0.5000) [1 per cell]
Se (0.2513, 0.5000, 0.2486) [2 per cell]
Se (0.2531, 0.0000, 0.7542) [2 per cell]

Output
crystal system: monoclinic
total magnetic moment: 7.3 μB/cell
total DFT energy (no corrections): -6.572 eV/atom

---

[5]
The following is a GGA-PBE calculation of crystalline Ca3CePu2Se6 at its relaxed geometry, from the Alexandria database.

Cell lengths 7.2425, 12.5415, 7.3457 Å; angles 90.00, 109.19, 90.00 degrees
Space group C2/m (No. 12)
Symmetry-distinct sites (fractional):
Ca (0.0000, 0.0000, 0.0000) [2 per cell]
Ca (0.0000, 0.3335, 0.0000) [4 per cell]
Ce (0.0000, 0.5000, 0.5000) [2 per cell]
Pu (0.0000, 0.1668, 0.5000) [4 per cell]
Se (0.2484, 0.0000, 0.7516) [4 per cell]
Se (0.2483, 0.1676, 0.2481) [8 per cell]

Output
crystal system: monoclinic
total magnetic moment: 26.7 μB/cell
total DFT energy (no corrections): -6.899 eV/atom

---

[6]
The following is a GGA-PBE calculation of crystalline CaCePu2Te4 at its relaxed geometry, from the Alexandria database.

Cell lengths 7.7386, 4.4651, 7.7766 Å; angles 90.00, 109.34, 90.00 degrees
Space group P2/m (No. 10)
Symmetry-distinct sites (fractional):
Ca (0.0000, 0.0000, 0.0000) [1 per cell]
Ce (0.0000, 0.5000, 0.5000) [1 per cell]
Pu (0.5000, 0.0000, 0.5000) [1 per cell]
Pu (0.5000, 0.5000, 0.0000) [1 per cell]
Te (0.2518, 0.5000, 0.2488) [2 per cell]
Te (0.2541, 0.0000, 0.7534) [2 per cell]

Output
crystal system: monoclinic
total magnetic moment: 13.1 μB/cell
total DFT energy (no corrections): -7.423 eV/atom